The following is a DFT calculation (meta-GGA SCAN) of a crystal of AlAsW3 relaxed with PBEsol.

Properties
* E_tot: -45.847 eV/atom
* space group: Pm-3m, No. 221
* crystal system: cubic
* D(E_F): 4.6 states/eV/f.u.

Unit cell a=4.5483 b=4.5483 c=4.5483 alpha=90.00 beta=90.00 gamma=90.00
Fractional coordinates of all 5 atoms:
W  0.5000  0.0000  0.0000
W  0.0000  0.0000  0.5000
W  0.0000  0.5000  0.0000
As  0.0000  0.0000  0.0000
Al  0.5000  0.5000  0.5000